Entry 1:
# AgSO4

AgSO4 after structural relaxation (PBE, the Open Quantum Materials Database).

```
AgSO4
1.0
6.534 -6.678 0.000
6.534 6.678 0.000
-6.498 0.000 6.703
Ag S O
8 8 32
Direct
0.000 0.000 0.000 Ag
0.000 0.000 0.500 Ag
0.000 0.500 0.000 Ag
0.000 0.500 0.500 Ag
0.500 0.000 0.000 Ag
0.500 0.000 0.500 Ag
0.500 0.500 0.000 Ag
0.500 0.500 0.500 Ag
0.220 0.734 0.951 S
0.239 0.281 0.019 S
0.266 0.780 0.549 S
0.281 0.239 0.519 S
0.719 0.761 0.481 S
0.734 0.220 0.451 S
0.761 0.719 0.981 S
0.780 0.266 0.049 S
0.062 0.773 0.850 O
0.075 0.274 0.861 O
0.115 0.617 0.408 O
0.118 0.212 0.508 O
0.212 0.118 0.008 O
0.213 0.678 0.071 O
0.227 0.938 0.650 O
0.230 0.592 0.788 O
0.274 0.075 0.361 O
0.287 0.438 0.213 O
0.290 0.378 0.487 O
0.322 0.787 0.429 O
0.378 0.290 0.987 O
0.383 0.885 0.092 O
0.408 0.770 0.712 O
0.438 0.287 0.713 O
0.562 0.713 0.287 O
0.592 0.230 0.288 O
0.617 0.115 0.908 O
0.622 0.710 0.013 O
0.678 0.213 0.571 O
0.710 0.622 0.513 O
0.713 0.562 0.787 O
0.726 0.925 0.639 O
0.770 0.408 0.212 O
0.773 0.062 0.350 O
0.787 0.322 0.929 O
0.788 0.882 0.992 O
0.882 0.788 0.492 O
0.885 0.383 0.592 O
0.925 0.726 0.139 O
0.938 0.227 0.150 O
```

Values from the calculation:
calculated density = 4.6 g/cm3
volume = 584.99 Å³ per cell
relative energy among the computed polymorphs = 19 meV/atom
DFT total energy = -255.93 eV/cell
SG = C2/c (15)

=====

Entry 2:
# AgSO6

AgSO6 after structural relaxation (PBE, the Open Quantum Materials Database).

```
AgSO6
1.0
0.000 3.575 3.575
3.575 0.000 3.575
3.575 3.575 0.000
Ag S O
1 1 6
Direct
0.000 0.000 0.000 Ag
0.750 0.750 0.750 S
0.526 0.526 0.974 O
0.526 0.974 0.526 O
0.526 0.974 0.974 O
0.974 0.526 0.526 O
0.974 0.526 0.974 O
0.974 0.974 0.526 O
```

Values from the calculation:
calculated density = 4.3 g/cm3
volume = 91.39 Å³ per cell
DFT total energy = -35.20 eV/cell
SG = F-43m (216)

=====

Entry 3:
# AgSbSO

AgSbSO after structural relaxation (PBE, the Open Quantum Materials Database).

```
AgSbSO
1.0
5.927 0.000 0.000
0.000 5.524 0.000
-1.945 0.000 10.702
Ag Sb S O
4 4 4 4
Direct
0.081 0.000 0.182 Ag
0.381 0.204 0.017 Ag
0.619 0.704 0.983 Ag
0.919 0.500 0.818 Ag
0.015 0.759 0.594 Sb
0.446 0.274 0.655 Sb
0.554 0.774 0.345 Sb
0.985 0.259 0.406 Sb
0.182 0.179 0.807 S
0.449 0.208 0.239 S
0.551 0.708 0.761 S
0.818 0.679 0.193 S
0.209 0.021 0.522 O
0.227 0.487 0.528 O
0.773 0.987 0.472 O
0.791 0.521 0.478 O
```

Values from the calculation:
calculated density = 5.3 g/cm3
volume = 350.44 Å³ per cell
relative energy among the computed polymorphs = 45 meV/atom
DFT total energy = -73.03 eV/cell
SG = P2_1 (4)

=====

Entry 4:
# AgSbSO

AgSbSO after structural relaxation (PBE, the Open Quantum Materials Database).

```
AgSbSO
1.0
3.639 0.000 0.000
0.000 6.764 0.000
0.000 0.000 6.764
Ag Sb S O
2 2 2 2
Direct
0.000 0.209 0.000 Ag
0.000 0.791 0.500 Ag
0.500 0.377 0.471 Sb
0.500 0.623 0.971 Sb
0.000 0.168 0.637 S
0.000 0.832 0.137 S
0.500 0.252 0.215 O
0.500 0.748 0.715 O
```

Values from the calculation:
calculated density = 5.5 g/cm3
volume = 166.48 Å³ per cell
relative energy among the computed polymorphs = 222 meV/atom
DFT total energy = -35.09 eV/cell
SG = Pmc2_1 (26)